## i
Density functional theory data (PBE) for a relaxed ScSb4 crystal.

a b c (Å): 5.4592 5.4592 5.4592
angles (deg): 90.00 90.00 90.00
Closest atoms and distances in Å follow each position.
Sites, in units of the cell vectors:
1 Sc 0.0000 0.0000 0.0000  6 Sb 2.73
2 Sb 0.0000 0.0000 0.5000  2 Sc 2.73
3 Sb 0.0000 0.5000 0.0000  2 Sc 2.73
4 Sb 0.5000 0.0000 0.0000  2 Sc 2.73
5 Sb 0.5000 0.5000 0.5000  12 Sb 3.86

SG = Pm-3m (221)
Mass density = 5.4 g/cm3
M_tot = 0.0 μB per cell



## ii
Density functional theory data (PBE) for a relaxed ScSb4 crystal.

a b c (Å): 10.4948 10.4948 10.4948
angles (deg): 157.88 157.88 31.48
Closest atoms and distances in Å follow each position.
Sites, in units of the cell vectors:
1 Sc 0.0000 0.0000 0.0000  8 Sb 3.18
2 Sb 0.2500 0.7500 0.5000  4 Sb 2.85
3 Sb 0.4295 0.4295 0.0000  1 Sb 2.85, 4 Sc 3.18
4 Sb 0.5705 0.5705 0.0000  1 Sb 2.85, 4 Sc 3.18
5 Sb 0.7500 0.2500 0.5000  4 Sb 2.85

SG = I4/mmm (139)
Mass density = 5.4 g/cm3
M_tot = 0.0 μB per cell



## iii
Density functional theory data (PBE) for a relaxed ScSb4 crystal.

a b c (Å): 5.8132 5.8132 5.8132
angles (deg): 109.47 109.47 109.47
Closest atoms and distances in Å follow each position.
Sites, in units of the cell vectors:
1 Sc 0.0000 0.0000 0.0000  8 Sb 2.91
2 Sb 0.0000 0.0000 0.5000  2 Sc 2.91
3 Sb 0.0000 0.5000 0.0000  2 Sc 2.91
4 Sb 0.5000 0.0000 0.0000  2 Sc 2.91
5 Sb 0.5000 0.5000 0.5000  2 Sc 2.91

SG = Im-3m (229)
Mass density = 5.8 g/cm3
M_tot = 0.0 μB per cell



Most stable structure, least stable structure: iii, i.



## i
Density functional theory data (PBE) for a relaxed Sc3SbSe crystal.

a b c (Å): 8.7410 8.7410 6.2198
angles (deg): 95.00 95.00 100.31
Closest atoms and distances in Å follow each position.
Sites, in units of the cell vectors:
1 Sc 0.0394 0.7653 0.9655  1 Se 2.74, 3 Sb 3.03-3.04
2 Sc 0.1510 0.5712 0.3618  2 Se 2.64-2.69, 1 Sb 2.95
3 Sc 0.2347 0.9606 0.5345  1 Se 2.74, 3 Sb 3.03-3.04
4 Sc 0.2831 0.4273 0.8763  3 Se 2.64-2.67, 1 Sb 2.89
5 Sc 0.4273 0.2831 0.3763  3 Se 2.64-2.67, 1 Sb 2.89
6 Sc 0.4288 0.8490 0.1382  2 Se 2.64-2.69, 1 Sb 2.95
7 Sc 0.5712 0.1510 0.8618  2 Se 2.64-2.69, 1 Sb 2.95
8 Sc 0.5727 0.7169 0.6237  3 Se 2.64-2.67, 1 Sb 2.89
9 Sc 0.7169 0.5727 0.1237  3 Se 2.64-2.67, 1 Sb 2.89
10 Sc 0.7653 0.0394 0.4655  1 Se 2.74, 3 Sb 3.03-3.04
11 Sc 0.8490 0.4288 0.6382  2 Se 2.64-2.69, 1 Sb 2.95
12 Sc 0.9606 0.2347 0.0345  1 Se 2.74, 3 Sb 3.03-3.04
13 Sb 0.0868 0.2478 0.5080  7 Sc 2.89-3.13
14 Sb 0.2478 0.0868 0.0080  7 Sc 2.89-3.13
15 Sb 0.7522 0.9132 0.9920  7 Sc 2.89-3.13
16 Sb 0.9132 0.7522 0.4920  7 Sc 2.89-3.13
17 Se 0.2881 0.7119 0.7500  6 Sc 2.67-2.74
18 Se 0.4350 0.5650 0.2500  6 Sc 2.64-2.65
19 Se 0.5650 0.4350 0.7500  6 Sc 2.64-2.65
20 Se 0.7119 0.2881 0.2500  6 Sc 2.67-2.74

SG = C2/c (15)
Mass density = 4.8 g/cm3
M_tot = 0.0 μB per cell



## ii
Density functional theory data (PBE) for a relaxed Sc3SbSe crystal.

a b c (Å): 4.9825 4.9825 4.9825
angles (deg): 90.00 90.00 90.00
Closest atoms and distances in Å follow each position.
Sites, in units of the cell vectors:
1 Sc 0.0000 0.0000 0.5000  2 Se 2.49
2 Sc 0.0000 0.5000 0.0000  2 Se 2.49
3 Sc 0.5000 0.0000 0.0000  2 Se 2.49
4 Sb 0.5000 0.5000 0.5000  12 Sc 3.52
5 Se 0.0000 0.0000 0.0000  6 Sc 2.49

SG = Pm-3m (221)
Mass density = 4.5 g/cm3
M_tot = 0.0 μB per cell



Most stable structure, least stable structure: i, ii.



## i
Density functional theory data (PBE) for a relaxed ScSbSe3 crystal.

a b c (Å): 5.2567 5.2567 5.2567
angles (deg): 90.00 90.00 90.00
Closest atoms and distances in Å follow each position.
Sites, in units of the cell vectors:
1 Sc 0.0000 0.0000 0.0000  12 Se 3.72
2 Sb 0.5000 0.5000 0.5000  6 Se 2.63
3 Se 0.0000 0.5000 0.5000  2 Sb 2.63
4 Se 0.5000 0.0000 0.5000  2 Sb 2.63
5 Se 0.5000 0.5000 0.0000  2 Sb 2.63

SG = Pm-3m (221)
Mass density = 4.6 g/cm3
M_tot = 0.2 μB per cell



## ii
Density functional theory data (PBE) for a relaxed ScSbSe3 crystal.

a b c (Å): 7.0524 3.9309 10.2576
angles (deg): 90.00 90.24 90.00
Closest atoms and distances in Å follow each position.
Sites, in units of the cell vectors:
1 Sc 0.0680 0.2500 0.3358  6 Se 2.72-2.82
2 Sc 0.9320 0.7500 0.6642  6 Se 2.72-2.82
3 Sb 0.4206 0.2500 0.6913  3 Se 2.68-2.72
4 Sb 0.5794 0.7500 0.3087  3 Se 2.68-2.72
5 Se 0.0859 0.2500 0.8140  1 Sb 2.68, 2 Sc 2.72
6 Se 0.2255 0.7500 0.4923  3 Sc 2.72-2.77
7 Se 0.3932 0.2500 0.1761  2 Sb 2.72, 1 Sc 2.82
8 Se 0.6068 0.7500 0.8239  2 Sb 2.72, 1 Sc 2.82
9 Se 0.7745 0.2500 0.5077  3 Sc 2.72-2.77
10 Se 0.9141 0.7500 0.1860  1 Sb 2.68, 2 Sc 2.72

SG = P2_1/m (11)
Mass density = 4.7 g/cm3
M_tot = 0.0 μB per cell



Most stable structure, least stable structure: ii, i.



## i
Density functional theory data (PBE) for a relaxed Sc3SbSe2 crystal.

a b c (Å): 8.0673 8.0673 8.0673
angles (deg): 129.57 113.85 87.63
Closest atoms and distances in Å follow each position.
Sites, in units of the cell vectors:
1 Sc 0.0000 0.2408 0.2408  2 Se 2.61, 2 Sb 2.86
2 Sc 0.0000 0.7592 0.7592  2 Se 2.61, 2 Sb 2.86
3 Sc 0.5000 0.0000 0.0000  4 Se 2.77, 2 Sb 3.05
4 Sc 0.5000 0.2408 0.7408  2 Se 2.61, 2 Sb 2.86
5 Sc 0.5000 0.5000 0.5000  4 Se 2.77, 2 Sb 3.05
6 Sc 0.5000 0.7592 0.2592  2 Se 2.61, 2 Sb 2.86
7 Sb 0.2832 0.5332 0.7500  6 Sc 2.86-3.05
8 Sb 0.7168 0.4668 0.2500  6 Sc 2.86-3.05
9 Se 0.1975 0.1719 0.0256  4 Sc 2.61-2.77
10 Se 0.3537 0.8281 0.5256  4 Sc 2.61-2.77
11 Se 0.6463 0.1719 0.4744  4 Sc 2.61-2.77
12 Se 0.8025 0.8281 0.9744  4 Sc 2.61-2.77

SG = Imma (74)
Mass density = 3.9 g/cm3
M_tot = 0.0 μB per cell



## ii
Density functional theory data (PBE) for a relaxed Sc3SbSe2 crystal.

a b c (Å): 6.8778 6.8778 6.8834
angles (deg): 99.57 99.57 119.86
Closest atoms and distances in Å follow each position.
Sites, in units of the cell vectors:
1 Sc 0.0000 0.5000 0.0000  4 Se 2.80-2.81, 2 Sb 2.85
2 Sc 0.1411 0.3202 0.4950  4 Se 2.73-2.80, 2 Sb 2.89-2.90
3 Sc 0.3202 0.1411 0.9950  4 Se 2.73-2.80, 2 Sb 2.89-2.90
4 Sc 0.5000 0.0000 0.5000  4 Se 2.80-2.81, 2 Sb 2.85
5 Sc 0.6798 0.8589 0.0050  4 Se 2.73-2.80, 2 Sb 2.89-2.90
6 Sc 0.8589 0.6798 0.5050  4 Se 2.73-2.80, 2 Sb 2.89-2.90
7 Sb 0.4218 0.5782 0.2500  6 Sc 2.85-2.90
8 Sb 0.5782 0.4218 0.7500  6 Sc 2.85-2.90
9 Se 0.0841 0.9159 0.2500  6 Sc 2.73-2.80
10 Se 0.2551 0.7449 0.7500  6 Sc 2.73-2.81
11 Se 0.7449 0.2551 0.2500  6 Sc 2.73-2.81
12 Se 0.9159 0.0841 0.7500  6 Sc 2.73-2.80

SG = C2/c (15)
Mass density = 5.2 g/cm3
M_tot = 0.0 μB per cell



Most stable structure, least stable structure: ii, i.



## i
Density functional theory data (PBE) for a relaxed ScSb3Se crystal.

a b c (Å): 5.4350 5.4350 5.4350
angles (deg): 90.00 90.00 90.00
Closest atoms and distances in Å follow each position.
Sites, in units of the cell vectors:
1 Sc 0.0000 0.0000 0.0000  6 Sb 2.72
2 Sb 0.0000 0.0000 0.5000  2 Sc 2.72
3 Sb 0.0000 0.5000 0.0000  2 Sc 2.72
4 Sb 0.5000 0.0000 0.0000  2 Sc 2.72
5 Se 0.5000 0.5000 0.5000  12 Sb 3.84

SG = Pm-3m (221)
Mass density = 5.1 g/cm3
M_tot = 0.0 μB per cell



## ii
Density functional theory data (PBE) for a relaxed ScSb3Se crystal.

a b c (Å): 5.3423 5.3423 5.3423
angles (deg): 90.00 90.00 90.00
Closest atoms and distances in Å follow each position.
Sites, in units of the cell vectors:
1 Sc 0.0000 0.0000 0.0000  12 Sb 3.78
2 Sb 0.0000 0.5000 0.5000  2 Se 2.67
3 Sb 0.5000 0.0000 0.5000  2 Se 2.67
4 Sb 0.5000 0.5000 0.0000  2 Se 2.67
5 Se 0.5000 0.5000 0.5000  6 Sb 2.67

SG = Pm-3m (221)
Mass density = 5.3 g/cm3
M_tot = 0.0 μB per cell



Most stable structure, least stable structure: i, ii.